# 1
Dy4Ho3Er8 after structural relaxation. Source: Alexandria via LeMat-Bulk, functional PBE.

Summary:
ΔE to the lowest computed polymorph: 0.0000 eV per atom
DOS at the Fermi energy: 22.192 states/eV per cell
V: 471.6 Å³/cell
calculated total energy: -4.433 eV/atom
SG: R-3m
energy of formation: 143 meV per atom

Lattice parameters (Å, degrees): 6.8483 6.8483 12.2650 73.79 73.79 60.00
Atoms (fractional coordinates):
Dy (0.0000, 0.0000, 0.0000)
Dy (0.3365, 0.3365, 0.9906)
Dy (0.5000, 0.5000, 0.5000)
Dy (0.6635, 0.6635, 0.0094)
Ho (0.5000, 0.0000, 0.5000)
Ho (0.0000, 0.0000, 0.5000)
Ho (0.0000, 0.5000, 0.5000)
Er (0.2451, 0.2451, 0.2647)
Er (0.2479, 0.7504, 0.2514)
Er (0.7504, 0.7504, 0.2514)
Er (0.7504, 0.2479, 0.2514)
Er (0.7549, 0.7549, 0.7353)
Er (0.7521, 0.2496, 0.7486)
Er (0.2496, 0.2496, 0.7486)
Er (0.2496, 0.7521, 0.7486)

=====

# 2
ReAsIr2 after structural relaxation. Source: Alexandria via LeMat-Bulk, functional PBE.

Summary:
DOS at the Fermi energy: 3.609 states/eV per cell
V: 60.1 Å³/cell
calculated total energy: -8.476 eV/atom
SG: Cmmm
energy of formation: 229 meV per atom

Lattice parameters (Å, degrees): 4.7825 4.7825 2.7963 90.00 90.00 110.08
Atoms (fractional coordinates):
Re (0.5000, 0.0000, 0.5000)
As (0.0000, 0.5000, 0.5000)
Ir (0.0000, 0.0000, 0.0000)
Ir (0.5000, 0.5000, 0.0000)

=====

# 3
UGa2As after structural relaxation. Source: Alexandria via LeMat-Bulk, functional PBE.

Summary:
DOS at the Fermi energy: 4.978 states/eV per cell
V: 75.7 Å³/cell
calculated total energy: -5.905 eV/atom
SG: P4/mmm
energy of formation: -407 meV per atom

Lattice parameters (Å, degrees): 4.5353 4.0859 4.0859 90.00 90.00 90.00
Atoms (fractional coordinates):
As (0.5000, 0.0000, 0.0000)
U (0.5000, 0.5000, 0.5000)
Ga (0.0000, 0.0000, 0.5000)
Ga (0.0000, 0.5000, 0.0000)

=====

Copy entry 3 word for word.
UGa2As after structural relaxation. Source: Alexandria via LeMat-Bulk, functional PBE.

Summary:
DOS at the Fermi energy: 4.978 states/eV per cell
V: 75.7 Å³/cell
calculated total energy: -5.905 eV/atom
SG: P4/mmm
energy of formation: -407 meV per atom

Lattice parameters (Å, degrees): 4.5353 4.0859 4.0859 90.00 90.00 90.00
Atoms (fractional coordinates):
As (0.5000, 0.0000, 0.0000)
U (0.5000, 0.5000, 0.5000)
Ga (0.0000, 0.0000, 0.5000)
Ga (0.0000, 0.5000, 0.0000)

=====

The lowest calculated total energy belongs to which entry? ReAsIr2